Computed, not measured: a geometry-optimized Mn2BeRh structure at the PBE level of DFT.

Unit cell a=3.281 b=3.281 c=17.410 alpha=90.00 beta=90.00 gamma=90.00
Space group I-42d (No. 122)
Inequivalent atoms, fractional coordinates:
1 Mn 0.194 0.250 0.125 [8 per cell]
2 Be 0.000 0.000 0.000 [4 per cell]
3 Rh 0.000 0.000 0.500 [4 per cell]

Values from the calculation:
E_form = 86 kJ/mol of formula units
Magnetic moment = 0.00 μB/f.u.
Mass density = 7.861 g/cm³
Total energy = -7.1322 eV/atom
Crystal system = tetragonal